This record from Alexandria describes Dy5SnAu2 after structural relaxation. The functional is PBE.

Space-group type   I4/mcm, No. 140
Formation energy   -677.5 meV per atom

Cell: 8.7167 8.7167 8.7167 Å, 125.12 125.12 81.34°
Fractional coordinates of all 16 atoms:
Dy  0.0000  0.0000  0.0000
Dy  0.0130  0.5130  0.8142
Dy  0.1988  0.0130  0.5000
Dy  0.3012  0.8012  0.8142
Dy  0.4870  0.3012  0.5000
Dy  0.5000  0.5000  0.0000
Dy  0.5130  0.6988  0.5000
Dy  0.6988  0.1988  0.1858
Dy  0.8012  0.9870  0.5000
Dy  0.9870  0.4870  0.1858
Sn  0.2500  0.2500  0.0000
Sn  0.7500  0.7500  0.0000
Au  0.1356  0.3644  0.5000
Au  0.3644  0.8644  0.2288
Au  0.6356  0.1356  0.7712
Au  0.8644  0.6356  0.5000

***

This record from Alexandria describes ErTm3Se6 after structural relaxation. The functional is PBE.

Formation energy from raw total energies   -18.40 eV per formula unit
ΔE to the lowest computed polymorph   0 kJ/mol of formula units
Space-group type   R3, No. 146

Cell: 7.6245 7.6245 7.6245 Å, 55.55 55.55 55.55°
Fractional coordinates of all 10 atoms:
Er  0.0000  0.0000  0.0000
Tm  0.3057  0.3057  0.3057
Tm  0.4997  0.4997  0.4997
Tm  0.8058  0.8058  0.8058
Se  0.0958  0.4044  0.7079
Se  0.2093  0.9031  0.5949
Se  0.4044  0.7079  0.0958
Se  0.5949  0.2093  0.9031
Se  0.7079  0.0958  0.4044
Se  0.9031  0.5949  0.2093

***

This record from Alexandria describes ZnSnO after structural relaxation. The functional is PBE.

Formation energy from raw total energies   -1.86 eV per formula unit
Space-group type   Cm, No. 8

Cell: 3.3272 3.3272 11.8384 Å, 95.96 95.96 59.89°
Fractional coordinates of all 6 atoms:
Zn  0.0000  0.0000  0.0000
Zn  0.7155  0.7155  0.2017
Sn  0.1756  0.1756  0.7120
Sn  0.4347  0.4347  0.4126
O  0.1296  0.1296  0.5272
O  0.6626  0.6626  0.9816

***

This record from Alexandria describes AcTb4Y5 after structural relaxation. The functional is PBE.

ΔE to the lowest computed polymorph   116 kJ/mol of formula units
Space-group type   I4, No. 79
Formation energy   332.9 meV per atom

Cell: 8.0004 8.0004 8.0004 Å, 99.37 99.37 132.42°
Fractional coordinates of all 10 atoms:
Ac  0.0000  0.0000  0.0000
Tb  0.1662  0.8664  0.5886
Tb  0.2778  0.5776  0.4114
Tb  0.5776  0.1662  0.2998
Tb  0.8664  0.2778  0.7002
Y  0.4656  0.4656  0.0000
Y  0.4722  0.8611  0.9077
Y  0.5646  0.4722  0.6111
Y  0.8611  0.9535  0.3889
Y  0.9535  0.5646  0.0923

***

This record from Alexandria describes HoCdH6Ir2 after structural relaxation. The functional is PBE.

E_tot   -0.16829 hartree per atom
Space-group type   C2/c, No. 15

Cell: 6.1331 6.1331 5.6074 Å, 99.86 99.86 102.57°
Fractional coordinates of all 20 atoms:
Ho  0.1569  0.8431  0.7500
Ho  0.8431  0.1569  0.2500
Cd  0.3793  0.6207  0.2500
Cd  0.6207  0.3793  0.7500
H  0.0277  0.5558  0.3893
H  0.1694  0.1713  0.0691
H  0.1713  0.1694  0.5691
H  0.3117  0.5311  0.8566
H  0.4442  0.9723  0.1107
H  0.4689  0.6883  0.6434
H  0.5311  0.3117  0.3566
H  0.5558  0.0277  0.8893
H  0.6883  0.4689  0.1434
H  0.8287  0.8306  0.4309
H  0.8306  0.8287  0.9309
H  0.9723  0.4442  0.6107
Ir  0.0793  0.3193  0.8239
Ir  0.3193  0.0793  0.3239
Ir  0.6807  0.9207  0.6761
Ir  0.9207  0.6807  0.1761

***

This record from Alexandria describes Mo3Pd13 after structural relaxation. The functional is PBE.

Space-group type   Amm2, No. 38
Formation energy   -64.5 meV per atom

Cell: 7.7477 5.6256 5.6256 Å, 90.30 90.00 90.00°
Fractional coordinates of all 16 atoms:
Mo  0.0000  0.0000  0.0000
Mo  0.2450  0.2392  0.2392
Mo  0.7550  0.2392  0.2392
Pd  0.0000  0.0005  0.4910
Pd  0.0000  0.4870  0.4870
Pd  0.0000  0.4910  0.0005
Pd  0.2461  0.7480  0.7480
Pd  0.2482  0.2431  0.7471
Pd  0.2482  0.7471  0.2431
Pd  0.5000  0.0005  0.0005
Pd  0.5000  0.0041  0.4875
Pd  0.5000  0.4875  0.0041
Pd  0.5000  0.4951  0.4951
Pd  0.7518  0.2431  0.7471
Pd  0.7518  0.7471  0.2431
Pd  0.7539  0.7480  0.7480

***

This record from Alexandria describes MnBe8V3 after structural relaxation. The functional is PBE.

Space-group type   P3m1, No. 156
Formation energy   -273.4 meV per atom

Cell: 4.2949 4.2949 6.9909 Å, 90.00 90.00 120.00°
Fractional coordinates of all 12 atoms:
Mn  0.0000  0.0000  0.0000
Be  0.1628  0.3256  0.6865
Be  0.1628  0.8372  0.6865
Be  0.3333  0.6667  0.4342
Be  0.3333  0.6667  0.9344
Be  0.5034  0.0068  0.1813
Be  0.5034  0.4966  0.1813
Be  0.6744  0.8372  0.6865
Be  0.9932  0.4966  0.1813
V  0.0000  0.0000  0.3632
V  0.6667  0.3333  0.5007
V  0.6667  0.3333  0.8731

***

This record from Alexandria describes Sr2SiBPt6 after structural relaxation. The functional is PBE.

Formation energy from raw total energies   -7.75 eV per formula unit
Space-group type   R-3m, No. 166

Cell: 6.9761 6.9761 6.9761 Å, 50.27 50.27 50.27°
Fractional coordinates of all 10 atoms:
Sr  0.2152  0.2152  0.2152
Sr  0.7847  0.7847  0.7847
Si  0.5000  0.5000  0.5000
B  0.0000  0.0000  0.0000
Pt  0.2401  0.2401  0.7029
Pt  0.2401  0.7029  0.2401
Pt  0.2971  0.7599  0.7599
Pt  0.7029  0.2401  0.2401
Pt  0.7599  0.2971  0.7599
Pt  0.7599  0.7599  0.2971

***

This record from Alexandria describes TbScTe3 after structural relaxation. The functional is PBE.

Formation energy from raw total energies   -5.97 eV per formula unit
ΔE to the lowest computed polymorph   46 kJ/mol of formula units
Space-group type   P2_1/c, No. 14

Cell: 9.7271 8.2153 9.4063 Å, 90.00 116.82 90.00°
Fractional coordinates of all 20 atoms:
Tb  0.1083  0.2100  0.0512
Tb  0.1083  0.2900  0.5512
Tb  0.8917  0.7100  0.4488
Tb  0.8917  0.7900  0.9488
Sc  0.3084  0.6111  0.9217
Sc  0.3084  0.8889  0.4217
Sc  0.6916  0.1111  0.5783
Sc  0.6916  0.3889  0.0783
Te  0.0073  0.0048  0.7028
Te  0.0073  0.4952  0.2028
Te  0.2511  0.6426  0.6055
Te  0.2511  0.8574  0.1055
Te  0.3744  0.2269  0.4431
Te  0.3744  0.2731  0.9431
Te  0.6256  0.7269  0.0569
Te  0.6256  0.7731  0.5569
Te  0.7489  0.1426  0.8945
Te  0.7489  0.3574  0.3945
Te  0.9927  0.5048  0.7972
Te  0.9927  0.9952  0.2972

***

This record from Alexandria describes SrLa after structural relaxation. The functional is PBE.

ΔE to the lowest computed polymorph   82 kJ/mol of formula units
Space-group type   P4_2/mnm, No. 136
Formation energy   486.9 meV per atom

Cell: 7.1388 7.1388 7.1010 Å, 90.00 90.00 90.00°
Fractional coordinates of all 8 atoms:
Sr  0.1767  0.1767  0.0000
Sr  0.3233  0.6767  0.5000
Sr  0.6767  0.3233  0.5000
Sr  0.8233  0.8233  0.0000
La  0.1454  0.1454  0.5000
La  0.3546  0.6454  0.0000
La  0.6454  0.3546  0.0000
La  0.8546  0.8546  0.5000

***

This record from Alexandria describes GdScFeRh after structural relaxation. The functional is PBE.

Space-group type   F-43m, No. 216
Formation energy   -337.5 meV per atom

Cell: 4.6695 4.6695 4.6695 Å, 60.00 60.00 60.00°
Fractional coordinates of all 4 atoms:
Gd  0.0000  0.0000  0.0000
Sc  0.5000  0.5000  0.5000
Fe  0.7500  0.7500  0.7500
Rh  0.2500  0.2500  0.2500

***

Number 1: total magnetization 0.000 μB per formula unit. Number 2: total magnetization 0.000 μB per formula unit. Number 3: total magnetization 0.000 μB per formula unit. Number 4: total magnetization 0.000 μB per formula unit. Number 5: total magnetization 0.000 μB per formula unit. Number 6: total magnetization 0.000 μB per formula unit. Number 7: total magnetization 0.376 μB per formula unit. Number 8: total magnetization 0.000 μB per formula unit. Number 9: total magnetization 0.000 μB per formula unit. Number 10: total magnetization 0.000 μB per formula unit. Number 11: total magnetization 6.577 μB per formula unit.